Record 1
The following is a PBE calculation of a geometry-optimized Th3Ga4Pt2 structure, from the Alexandria database.

Unit cell a=5.9401 b=5.9401 c=8.5373 alpha=108.41 beta=108.41 gamma=44.36
Element x y z (fractional)
Th 0.0000 0.0000 0.0000
Th 0.3223 0.3223 0.3504
Th 0.6777 0.6777 0.6496
Ga 0.0235 0.0235 0.3634
Ga 0.2670 0.2670 0.9298
Ga 0.7330 0.7330 0.0702
Ga 0.9765 0.9765 0.6366
Pt 0.3974 0.3974 0.7234
Pt 0.6026 0.6026 0.2766

Properties
**Symmetry**: No. 12
**Energy of formation from the pure elements**: -7.93 eV per formula unit

Record 2
The following is a PBE calculation of a geometry-optimized LaSm2TmIn4 structure, from the Alexandria database.

Unit cell a=9.4329 b=9.4329 c=9.4329 alpha=33.35 beta=33.35 gamma=33.35
Element x y z (fractional)
La 0.0000 0.0000 0.0000
Sm 0.2490 0.2490 0.2490
Sm 0.7510 0.7510 0.7510
Tm 0.5000 0.5000 0.5000
In 0.1274 0.1274 0.1274
In 0.3777 0.3777 0.3777
In 0.6223 0.6223 0.6223
In 0.8726 0.8726 0.8726

Properties
**Symmetry**: No. 166
**Energy of formation from the pure elements**: -3.75 eV per formula unit

Record 3
The following is a PBE calculation of a geometry-optimized Ba2ZnNiCl structure, from the Alexandria database.

Unit cell a=5.9345 b=5.9345 c=4.6217 alpha=90.00 beta=90.00 gamma=90.00
Element x y z (fractional)
Ba 0.0000 0.5000 0.0000
Ba 0.5000 0.0000 0.0000
Zn 0.0000 0.0000 0.5000
Ni 0.0000 0.0000 0.0000
Cl 0.5000 0.5000 0.5000

Properties
**Symmetry**: No. 123
**Formation energy (no corrections)**: -62.82 kJ per mole of atoms